1.
Compound: NiAsAu
Source: Alexandria via LeMat-Bulk
Functional: PBE
Structure: relaxed

abc: 5.6731 7.1398 5.2716
angles: 113.17 90.00 90.00
Positions (direct):
Ni1 0.9969 0.6792 0.7064
Au1 0.8593 0.0653 0.7919
Au2 0.3593 0.9347 0.7081
As1 0.4090 0.3656 0.2478
As2 0.0910 0.3656 0.7478
Au3 0.1407 0.9347 0.2081
Ni2 0.4969 0.3208 0.7936
Ni3 0.0031 0.3208 0.2936
As3 0.5910 0.6344 0.7522
As4 0.9090 0.6344 0.2522
Au4 0.6407 0.0653 0.2919
Ni4 0.5031 0.6792 0.2064

Summary:
Calculated formation energy = 0.02 eV per atom

=====

2.
Compound: NiAsAu
Source: Alexandria via LeMat-Bulk
Functional: PBE
Structure: relaxed

abc: 3.3262 3.1086 9.1739
angles: 90.00 90.00 90.00
Positions (direct):
Au1 0.0000 0.5000 0.8226
Ni1 0.0000 0.5000 0.5114
Ni2 0.5000 0.0000 0.0114
Au2 0.5000 0.0000 0.3226
As1 0.0000 0.5000 0.1126
As2 0.5000 0.0000 0.6126

Summary:
Calculated formation energy = 0.02 eV per atom

=====

3.
Compound: NiAs2Au
Source: Alexandria via LeMat-Bulk
Functional: PBE
Structure: relaxed

abc: 3.5695 4.1668 5.6552
angles: 57.11 90.00 90.00
Positions (direct):
Au1 0.0000 0.6519 0.4544
As1 0.5000 0.2422 0.3297
Ni1 0.5000 0.6629 0.8106
As2 0.0000 0.9430 0.9054

Summary:
Calculated formation energy = 0.07 eV per atom

=====

4.
Compound: NiAsAu2
Source: Alexandria via LeMat-Bulk
Functional: PBE
Structure: relaxed

abc: 5.3037 5.3037 4.5380
angles: 75.02 75.02 33.45
Positions (direct):
Au1 0.7930 0.7930 0.6785
Au2 0.9829 0.9829 0.0326
As1 0.1942 0.1942 0.2650
Ni1 0.5300 0.5300 0.5238

Summary:
Calculated formation energy = 0.08 eV per atom

=====

5.
Compound: NiAs2Au
Source: Alexandria via LeMat-Bulk
Functional: PBE
Structure: relaxed

abc: 7.7545 7.7545 7.7545
angles: 23.95 23.95 23.95
Positions (direct):
Au1 0.2500 0.2500 0.2500
As1 0.4868 0.4868 0.4868
Ni1 0.7500 0.7500 0.7500
As2 0.0132 0.0132 0.0132

Summary:
Calculated formation energy = 0.03 eV per atom

=====

6.
Compound: NiAs2Au
Source: Alexandria via LeMat-Bulk
Functional: PBE
Structure: relaxed

abc: 2.7920 3.7100 7.2298
angles: 90.00 90.00 90.00
Positions (direct):
As1 0.5000 0.5000 0.2622
Au1 0.0000 0.0000 0.4690
As2 0.0000 0.0000 0.8291
Ni1 0.5000 0.5000 0.9397

Summary:
Calculated formation energy = 0.04 eV per atom

=====

7.
Compound: NiAsAu2
Source: Alexandria via LeMat-Bulk
Functional: PBE
Structure: relaxed

abc: 4.9694 4.9694 4.9694
angles: 132.36 132.36 69.67
Positions (direct):
Au1 0.0000 0.0000 0.0000
Au2 0.5000 0.5000 0.0000
As1 0.7500 0.2500 0.5000
Ni1 0.2500 0.7500 0.5000

Summary:
Calculated formation energy = 0.18 eV per atom

=====

8.
Compound: NiAsAu2
Source: Alexandria via LeMat-Bulk
Functional: PBE
Structure: relaxed

abc: 7.3078 7.3078 5.8002
angles: 50.95 50.95 90.00
Positions (direct):
As1 0.0000 0.0000 0.0000
Ni1 0.2500 0.7500 0.5000
As2 0.7500 0.2500 0.5000
Ni2 0.5000 0.5000 0.0000
Au1 0.6191 0.1250 0.2500
Au2 0.1309 0.6250 0.2500
Au3 0.3750 0.3809 0.7500
Au4 0.8750 0.8691 0.7500

Summary:
Calculated formation energy = 0.24 eV per atom